Compound: LiTeO4
Source: Alexandria
Functional: PBE-GGA
Structure: relaxed

Summary:
- Formation energy (no corrections): -0.974 eV per atom
- SG: C2/c, No. 15
- Total moment: 1.02 μB/f.u.

Unit cell a=6.5893 b=6.5893 c=4.8851 alpha=110.80 beta=110.80 gamma=115.80
Atoms (fractional coordinates):
Li1 0.1583 0.8417 0.7500
Li2 0.8417 0.1583 0.2500
Te1 0.4153 0.5847 0.2500
Te2 0.5847 0.4153 0.7500
O1 0.0857 0.4791 0.2226
O2 0.2390 0.3405 0.7245
O3 0.3405 0.2390 0.2245
O4 0.4791 0.0857 0.7226
O5 0.5209 0.9143 0.2774
O6 0.6595 0.7610 0.7755
O7 0.7610 0.6595 0.2755
O8 0.9143 0.5209 0.7774



Compound: Bi2Sb2Pd
Source: Alexandria
Functional: PBE-GGA
Structure: relaxed

Summary:
- Formation energy (no corrections): -0.052 eV per atom
- SG: P4/mbm, No. 127
- Total moment: 0.00 μB/f.u.

Unit cell a=6.8538 b=6.8538 c=6.2380 alpha=90.00 beta=90.00 gamma=90.00
Atoms (fractional coordinates):
Bi1 0.2157 0.2843 0.0000
Bi2 0.2843 0.7843 0.0000
Bi3 0.7157 0.2157 0.0000
Bi4 0.7843 0.7157 0.0000
Sb1 0.1500 0.3500 0.5000
Sb2 0.3500 0.8500 0.5000
Sb3 0.6500 0.1500 0.5000
Sb4 0.8500 0.6500 0.5000
Pd1 0.0000 0.0000 0.5000
Pd2 0.5000 0.5000 0.5000



Compound: Nd2Dy3Tl
Source: Alexandria
Functional: PBE-GGA
Structure: relaxed

Summary:
- Uncorrected energy: -26.29 eV/f.u.
- SG: Cmmm, No. 65
- Total moment: 0.00 μB/f.u.

Unit cell a=8.0509 b=8.0509 c=4.9451 alpha=90.00 beta=90.00 gamma=144.58
Atoms (fractional coordinates):
Nd1 0.1624 0.8376 0.0000
Nd2 0.8376 0.1624 0.0000
Dy1 0.0000 0.0000 0.5000
Dy2 0.3348 0.6652 0.5000
Dy3 0.6652 0.3348 0.5000
Tl1 0.5000 0.5000 0.0000



Compound: Hf6Zr3Pa
Source: Alexandria
Functional: PBE-GGA
Structure: relaxed

Summary:
- Uncorrected energy: -92.21 eV/f.u.
- SG: P2_1/c, No. 14
- Total moment: 0.00 μB/f.u.

Unit cell a=6.2043 b=8.7060 c=10.7767 alpha=90.00 beta=124.94 gamma=90.00
Atoms (fractional coordinates):
Hf1 0.0258 0.1531 0.2486
Hf2 0.0258 0.3469 0.7486
Hf3 0.0613 0.6425 0.5651
Hf4 0.0613 0.8575 0.0651
Hf5 0.4378 0.6460 0.9372
Hf6 0.4378 0.8540 0.4372
Hf7 0.5622 0.1460 0.5628
Hf8 0.5622 0.3540 0.0628
Hf9 0.9387 0.1425 0.9349
Hf10 0.9387 0.3575 0.4349
Hf11 0.9742 0.6531 0.2514
Hf12 0.9742 0.8469 0.7514
Zr1 0.4803 0.1541 0.2525
Zr2 0.4803 0.3459 0.7525
Zr3 0.5000 0.0000 0.0000
Zr4 0.5000 0.5000 0.5000
Zr5 0.5197 0.6541 0.2475
Zr6 0.5197 0.8459 0.7475
Pa1 0.0000 0.0000 0.5000
Pa2 0.0000 0.5000 0.0000



Compound: TbSm2Ho8
Source: Alexandria
Functional: PBE-GGA
Structure: relaxed

Summary:
- Uncorrected energy: -50.48 eV/f.u.
- SG: C2/m, No. 12
- Total moment: 0.00 μB/f.u.

Unit cell a=9.3812 b=9.3812 c=7.9298 alpha=104.70 beta=104.70 gamma=30.98
Atoms (fractional coordinates):
Tb1 0.0000 0.0000 0.0000
Sm1 0.2728 0.2728 0.3631
Sm2 0.7272 0.7272 0.6369
Ho1 0.0901 0.0901 0.4542
Ho2 0.1814 0.1814 0.9082
Ho3 0.3643 0.3643 0.8204
Ho4 0.4552 0.4552 0.2726
Ho5 0.5448 0.5448 0.7274
Ho6 0.6357 0.6357 0.1796
Ho7 0.8186 0.8186 0.0918
Ho8 0.9099 0.9099 0.5458



Compound: Be2VRe
Source: Alexandria
Functional: PBE-GGA
Structure: relaxed

Summary:
- Uncorrected energy: -26.95 eV/f.u.
- SG: I-42d, No. 122
- Total moment: 0.00 μB/f.u.

Unit cell a=8.7919 b=8.7919 c=8.7919 alpha=157.19 beta=157.19 gamma=32.48
Atoms (fractional coordinates):
Be1 0.1134 0.6250 0.9884
Be2 0.3750 0.3634 0.4884
Be3 0.6366 0.1250 0.0116
Be4 0.8750 0.8866 0.5116
V1 0.2500 0.7500 0.5000
V2 0.5000 0.5000 0.0000
Re1 0.0000 0.0000 0.0000
Re2 0.7500 0.2500 0.5000



Compound: NdY2MgPd4
Source: Alexandria
Functional: PBE-GGA
Structure: relaxed

Summary:
- Uncorrected energy: -46.36 eV/f.u.
- SG: R-3m, No. 166
- Total moment: 0.00 μB/f.u.

Unit cell a=8.5739 b=8.5739 c=8.5739 alpha=33.28 beta=33.28 gamma=33.28
Atoms (fractional coordinates):
Nd1 0.0000 0.0000 0.0000
Y1 0.2438 0.2438 0.2438
Y2 0.7562 0.7562 0.7562
Mg1 0.5000 0.5000 0.5000
Pd1 0.1248 0.1248 0.1248
Pd2 0.3811 0.3811 0.3811
Pd3 0.6189 0.6189 0.6189
Pd4 0.8752 0.8752 0.8752



Compound: RbLaPd
Source: Alexandria
Functional: PBE-GGA
Structure: relaxed

Summary:
- Uncorrected energy: -12.31 eV/f.u.
- SG: P1, No. 1
- Total moment: 0.00 μB/f.u.

Unit cell a=4.1504 b=4.3276 c=14.1410 alpha=89.90 beta=89.44 gamma=90.00
Atoms (fractional coordinates):
Rb1 0.0000 0.0000 0.0000
Rb2 0.4934 0.5043 0.3029
La1 0.4979 0.0026 0.5598
La2 0.9918 0.5015 0.7433
Pd1 0.4914 0.0013 0.7704
Pd2 0.9983 0.5027 0.5328



Compound: BeIn2Br
Source: Alexandria
Functional: PBE-GGA
Structure: relaxed

Summary:
- Formation energy (no corrections): 0.048 eV per atom
- SG: Cmm2, No. 35
- Total moment: 0.00 μB/f.u.

Unit cell a=3.5092 b=3.5092 c=10.2269 alpha=90.00 beta=90.00 gamma=123.54
Atoms (fractional coordinates):
Be1 0.0000 0.0000 0.0000
In1 0.0000 0.0000 0.4829
In2 0.5000 0.5000 0.2077
Br1 0.5000 0.5000 0.8566



Compound: CdInNiPd
Source: Alexandria
Functional: PBE-GGA
Structure: relaxed

Summary:
- Uncorrected energy: -15.51 eV/f.u.
- SG: F-43m, No. 216
- Total moment: 0.00 μB/f.u.

Unit cell a=4.5605 b=4.5605 c=4.5605 alpha=60.00 beta=60.00 gamma=60.00
Atoms (fractional coordinates):
Cd1 0.0000 0.0000 0.0000
In1 0.5000 0.5000 0.5000
Ni1 0.7500 0.7500 0.7500
Pd1 0.2500 0.2500 0.2500



Compound: AgMo2W
Source: Alexandria
Functional: PBE-GGA
Structure: relaxed

Summary:
- Uncorrected energy: -35.58 eV/f.u.
- SG: R-3m, No. 166
- Total moment: 0.00 μB/f.u.

Unit cell a=10.0519 b=10.0519 c=10.0519 alpha=15.86 beta=15.86 gamma=15.86
Atoms (fractional coordinates):
Ag1 0.0000 0.0000 0.0000
Mo1 0.2490 0.2490 0.2490
Mo2 0.7510 0.7510 0.7510
W1 0.5000 0.5000 0.5000



Compound: YAuC
Source: Alexandria
Functional: PBE-GGA
Structure: relaxed

Summary:
- Uncorrected energy: -18.74 eV/f.u.
- SG: Pnma, No. 62
- Total moment: 0.00 μB/f.u.

Unit cell a=7.0619 b=3.6791 c=7.5228 alpha=90.00 beta=90.00 gamma=90.00
Atoms (fractional coordinates):
Y1 0.0380 0.2500 0.1838
Y2 0.4620 0.7500 0.6838
Y3 0.5380 0.2500 0.3162
Y4 0.9620 0.7500 0.8162
Au1 0.1659 0.2500 0.5492
Au2 0.3341 0.7500 0.0492
Au3 0.6659 0.2500 0.9508
Au4 0.8341 0.7500 0.4508
C1 0.1908 0.2500 0.8676
C2 0.3092 0.7500 0.3676
C3 0.6908 0.2500 0.6324
C4 0.8092 0.7500 0.1324



Number 12 is which compound?
YAuC